Computed, not measured: crystalline Ce5SmTe8 at its relaxed geometry at the PBE level of DFT.

Properties
**V**: 431.1 Å³/cell
**Total energy**: -79.1 eV/f.u.
**Raw formation energy**: -1395.6 meV per atom

Lattice parameters (Å, degrees): 8.2426 8.2426 8.2426 109.57 109.57 109.27
With the nearest neighbours (Å) after each atom.
Fractional positions:
Ce 0.0000 0.0000 0.0000  8 Te 3.22-3.38
Ce 0.1249 0.5001 0.8756  8 Te 3.21-3.39
Ce 0.4999 0.3755 0.6248  8 Te 3.21-3.39
Ce 0.6245 0.2493 0.1244  8 Te 3.21-3.39
Ce 0.7507 0.8751 0.3752  8 Te 3.21-3.39
Sm 0.2500 0.7500 0.5000  8 Te 3.20-3.36
Te 0.0288 0.2790 0.4031  5 Ce 3.22-3.37, 1 Sm 3.36, 2 Te 3.60
Te 0.2229 0.1226 0.7490  1 Sm 3.20, 5 Ce 3.21-3.39
Te 0.3735 0.4739 0.2510  1 Sm 3.20, 5 Ce 3.21-3.39
Te 0.3743 0.9712 0.2502  5 Ce 3.22-3.37, 1 Sm 3.36, 2 Te 3.60
Te 0.5261 0.7771 0.8997  1 Sm 3.20, 5 Ce 3.21-3.39
Te 0.7210 0.1241 0.7498  5 Ce 3.22-3.37, 1 Sm 3.36, 2 Te 3.60
Te 0.8759 0.6257 0.5969  5 Ce 3.22-3.37, 1 Sm 3.36, 2 Te 3.60
Te 0.8774 0.6265 0.1003  1 Sm 3.20, 5 Ce 3.21-3.39